[1]
Here is a PBEsol-optimized structure of NaSbI2N from Alexandria via LeMat-Bulk. Energies are from SCAN.

Results
**Uncorrected energy**: -118.6 eV for the cell shown
**Uncorrected formation energy**: 25.9 kcal/mol of atoms
**Crystal system**: tetragonal
**Magnetic moment**: 5.202 μB per cell
**Density of states at the Fermi level**: 4.5 states/eV/cell

Structure (POSCAR):
```
NaSbI2N
1.0
5.827 0.000 0.000
0.000 5.827 0.000
0.000 0.000 5.732
Na Sb I N
1 1 2 1
Cartesian
0.000 0.000 0.000 Na
0.000 0.000 2.866 Sb
0.000 2.913 0.000 I
2.913 0.000 0.000 I
2.913 2.913 2.866 N
```



[2]
Here is a PBEsol-optimized structure of NaSnIN2 from Alexandria via LeMat-Bulk. Energies are from SCAN.

Results
**Uncorrected energy**: -88.0 eV for the cell shown
**Uncorrected formation energy**: 34.2 kcal/mol of atoms
**Crystal system**: tetragonal
**Magnetic moment**: 4.000 μB per cell
**Density of states at the Fermi level**: 2.2 states/eV/cell

Structure (POSCAR):
```
NaSnIN2
1.0
4.582 0.000 0.000
0.000 4.582 0.000
0.000 0.000 5.545
Na Sn I N
1 1 1 2
Cartesian
0.000 0.000 0.000 Na
2.291 2.291 2.772 Sn
0.000 0.000 2.772 I
0.000 2.291 0.000 N
2.291 0.000 0.000 N
```



[3]
Here is a PBEsol-optimized structure of NaTlIN2 from Alexandria via LeMat-Bulk. Energies are from SCAN.

Results
**Uncorrected energy**: -126.5 eV for the cell shown
**Uncorrected formation energy**: 24.7 kcal/mol of atoms
**Crystal system**: tetragonal
**Magnetic moment**: 3.084 μB per cell
**Density of states at the Fermi level**: 1.3 states/eV/cell

Structure (POSCAR):
```
NaTlIN2
1.0
4.395 0.000 0.000
0.000 4.395 0.000
0.000 0.000 6.487
Na Tl I N
1 1 1 2
Cartesian
0.000 0.000 0.000 Na
2.198 2.198 3.244 Tl
2.198 2.198 0.000 I
0.000 2.198 3.244 N
2.198 0.000 3.244 N
```



[4]
Here is a PBEsol-optimized structure of NaYIN2 from Alexandria via LeMat-Bulk. Energies are from SCAN.

Results
**Uncorrected energy**: -87.5 eV for the cell shown
**Uncorrected formation energy**: -0.7 kcal/mol of atoms
**Crystal system**: tetragonal
**Magnetic moment**: 3.000 μB per cell
**Density of states at the Fermi level**: 2.1 states/eV/cell

Structure (POSCAR):
```
NaYIN2
1.0
4.474 0.000 0.000
0.000 4.474 0.000
0.000 0.000 6.232
Na Y I N
1 1 1 2
Cartesian
0.000 0.000 0.000 Na
2.237 2.237 3.116 Y
2.237 2.237 0.000 I
0.000 2.237 3.116 N
2.237 0.000 3.116 N
```



[5]
Here is a PBEsol-optimized structure of NaZnI2N from Alexandria via LeMat-Bulk. Energies are from SCAN.

Results
**Uncorrected energy**: -97.1 eV for the cell shown
**Uncorrected formation energy**: 15.9 kcal/mol of atoms
**Crystal system**: tetragonal
**Magnetic moment**: 3.670 μB per cell
**Density of states at the Fermi level**: 1.6 states/eV/cell

Structure (POSCAR):
```
NaZnI2N
1.0
5.798 0.000 0.000
0.000 5.798 0.000
0.000 0.000 4.425
Na Zn I N
1 1 2 1
Cartesian
0.000 0.000 0.000 Na
2.899 2.899 2.212 Zn
0.000 2.899 0.000 I
2.899 0.000 0.000 I
0.000 0.000 2.212 N
```



[6]
Here is a PBEsol-optimized structure of NbI2N2 from Alexandria via LeMat-Bulk. Energies are from SCAN.

Results
**Uncorrected energy**: -114.6 eV for the cell shown
**Uncorrected formation energy**: 48.7 kcal/mol of atoms
**Crystal system**: tetragonal
**Magnetic moment**: 3.107 μB per cell
**Density of states at the Fermi level**: 3.5 states/eV/cell

Structure (POSCAR):
```
NbI2N2
1.0
4.038 0.000 0.000
0.000 4.038 0.000
0.000 0.000 6.686
Nb I N
1 2 2
Cartesian
0.000 0.000 0.000 Nb
2.019 2.019 0.000 I
2.019 2.019 3.343 I
0.000 2.019 3.343 N
2.019 0.000 3.343 N
```